--- i ---
VASP calculation (PBE-GGA) on a geometry-optimized RbScP2 structure.

Structure (POSCAR):
```
RbScP2
1.0
0.000 3.546 3.546
3.546 0.000 3.546
3.546 3.546 0.000
Sc P Rb
1 2 1
Cartesian
0.000 0.000 0.000
1.773 1.773 1.773
5.319 5.319 5.319
3.546 3.546 3.546
```

Total magnetic moment in μB per atom: 0.000
Crystal system: cubic

***

--- ii ---
VASP calculation (PBE-GGA) on a geometry-optimized RbScP2 structure.

Structure (POSCAR):
```
RbScP2
1.0
-2.041 3.511 -3.921
3.510 -2.226 -3.820
-4.982 -4.924 -5.880
Sc P Rb
2 4 2
Cartesian
0.735 0.643 -3.871
-0.368 -3.253 -6.786
-1.572 -0.193 -3.417
0.183 -1.304 -5.329
-2.307 -3.768 -8.269
-3.329 -2.011 -10.228
0.000 0.000 0.000
-3.144 -0.385 -6.836
```

Total magnetic moment in μB per atom: 0.000
Crystal system: tetragonal

***

Out of the structures above, which one is the least stable? Solution: i.